(1)
Entry from OQMD: a relaxed structure of TbSnPd (PBE).

Cell: 7.2428 4.6330 7.9949 Å, 90.00 90.00 90.00°
Fractional coordinates of all 12 atoms:
Tb 0.0094 0.2500 0.2037
Tb 0.4906 0.7500 0.7037
Tb 0.5094 0.2500 0.2963
Tb 0.9906 0.7500 0.7963
Sn 0.1907 0.2500 0.5858
Sn 0.3093 0.7500 0.0858
Sn 0.6907 0.2500 0.9142
Sn 0.8093 0.7500 0.4142
Pd 0.2077 0.7500 0.4132
Pd 0.2923 0.2500 0.9132
Pd 0.7077 0.7500 0.0868
Pd 0.7923 0.2500 0.5868

Calculated values
Magnetization   0.01 μB/f.u.
Raw total energy   -5.5291 eV per atom



(2)
Entry from OQMD: a relaxed structure of TbSnPd (PBE).

Cell: 4.7813 4.5852 12.1337 Å, 90.00 90.00 90.00°
Fractional coordinates of all 12 atoms:
Tb 0.2451 0.2500 0.1470
Tb 0.2549 0.7500 0.6470
Tb 0.7451 0.2500 0.3530
Tb 0.7549 0.7500 0.8530
Sn 0.2491 0.7500 0.3589
Sn 0.2509 0.2500 0.8589
Sn 0.7491 0.7500 0.1411
Sn 0.7509 0.2500 0.6411
Pd 0.2432 0.2500 0.4929
Pd 0.2568 0.7500 0.9929
Pd 0.7432 0.2500 0.0071
Pd 0.7568 0.7500 0.5071

Calculated values
Magnetization   0.00 μB/f.u.
Raw total energy   -5.4030 eV per atom



(3)
Entry from OQMD: a relaxed structure of TbSnPd2 (PBE).

Cell: 4.2531 6.3161 6.0311 Å, 90.00 90.00 90.00°
Fractional coordinates of all 8 atoms:
Tb 0.0000 0.0776 0.0000
Tb 0.5000 0.9224 0.5000
Sn 0.0000 0.6022 0.7532
Sn 0.5000 0.3978 0.2532
Pd 0.0000 0.2410 0.4887
Pd 0.0000 0.6795 0.2845
Pd 0.5000 0.3205 0.7845
Pd 0.5000 0.7590 0.9887

Calculated values
Magnetization   0.00 μB/f.u.
Raw total energy   -5.5365 eV per atom